# 1
! PBE BeAg2F, relaxed; values from VASP
&SYSTEM
  ibrav = 0, nat = 4, ntyp = 3
/
ATOMIC_SPECIES
Be 9.01 Be.upf
Ag 107.87 Ag.upf
F 19.00 F.upf
CELL_PARAMETERS angstrom
0.000 3.029 3.029
3.029 0.000 3.029
3.029 3.029 0.000
ATOMIC_POSITIONS crystal
Be 0.000 0.000 0.000
Ag 0.250 0.250 0.250
Ag 0.750 0.750 0.750
F 0.500 0.500 0.500
! Final energy in eV/atom: -2.941
! Density in g/cm3: 7.3
! Spin magnetization in μB per cell: 0.00
! Space group: Fm-3m


# 2
! PBE Fe2AgHg, relaxed; values from VASP
&SYSTEM
  ibrav = 0, nat = 4, ntyp = 3
/
ATOMIC_SPECIES
Ag 107.87 Ag.upf
Fe 55.84 Fe.upf
Hg 200.59 Hg.upf
CELL_PARAMETERS angstrom
3.960 0.000 0.000
0.000 3.960 0.000
0.000 0.000 4.048
ATOMIC_POSITIONS crystal
Ag 0.000 0.500 0.500
Fe 0.000 0.000 0.000
Fe 0.500 0.500 0.000
Hg 0.500 0.000 0.500
! Final energy in eV/atom: -4.585
! Density in g/cm3: 11.0
! Energy relative to the elements in eV per formula unit: 1.7
! Spin magnetization in μB per cell: 5.43
! Space group: P4/mmm


# 3
! PBE TiWS4, relaxed; values from VASP
&SYSTEM
  ibrav = 0, nat = 6, ntyp = 3
/
ATOMIC_SPECIES
Ti 47.87 Ti.upf
W 183.84 W.upf
S 32.06 S.upf
CELL_PARAMETERS angstrom
3.305 0.000 0.000
0.000 5.907 0.065
0.000 0.075 5.907
ATOMIC_POSITIONS crystal
Ti 0.000 0.500 0.500
W 0.500 0.000 0.000
S 0.500 0.294 0.706
S 0.000 0.797 0.797
S 0.000 0.203 0.203
S 0.500 0.706 0.294
! Final energy in eV/atom: -6.983
! Density in g/cm3: 5.2
! Spin magnetization in μB per cell: 0.00
! Space group: Cmmm


# 4
! PBE Pm2HPt, relaxed; values from VASP
&SYSTEM
  ibrav = 0, nat = 4, ntyp = 3
/
ATOMIC_SPECIES
H 1.01 H.upf
Pt 195.08 Pt.upf
Pm 145.00 Pm.upf
CELL_PARAMETERS angstrom
-2.917 1.427 0.970
-1.240 -0.408 -3.128
-2.522 -6.401 1.835
ATOMIC_POSITIONS crystal
H 0.500 0.500 0.500
Pt 0.500 0.500 0.000
Pm 0.000 0.000 0.742
Pm 0.000 0.000 0.258
! Final energy in eV/atom: -5.184
! Density in g/cm3: 9.9
! Spin magnetization in μB per cell: 0.00
! Space group: P4/mmm


# 5
! PBE CoAg7, relaxed; values from VASP
&SYSTEM
  ibrav = 0, nat = 8, ntyp = 2
/
ATOMIC_SPECIES
Co 58.93 Co.upf
Ag 107.87 Ag.upf
CELL_PARAMETERS angstrom
-1.796 2.211 5.043
-2.914 5.004 0.094
-5.644 0.041 1.298
ATOMIC_POSITIONS crystal
Co 0.000 0.000 0.000
Ag 0.500 0.000 0.000
Ag 0.000 0.000 0.500
Ag 0.500 0.000 0.500
Ag 0.000 0.500 0.000
Ag 0.500 0.500 0.000
Ag 0.000 0.500 0.500
Ag 0.500 0.500 0.500
! Final energy in eV/atom: -3.163
! Density in g/cm3: 9.8
! Energy relative to the elements in eV per formula unit: 1.8
! Spin magnetization in μB per cell: 1.60
! Space group: Fm-3m


# 6
! PBE BeIr, relaxed; values from VASP
&SYSTEM
  ibrav = 0, nat = 16, ntyp = 2
/
ATOMIC_SPECIES
Be 9.01 Be.upf
Ir 192.22 Ir.upf
CELL_PARAMETERS angstrom
-6.403 2.530 -0.806
0.199 -1.639 -6.732
-1.455 -3.430 0.792
ATOMIC_POSITIONS crystal
Be 0.336 0.336 0.000
Be 0.336 0.664 0.000
Be 0.664 0.336 0.000
Be 0.664 0.664 0.000
Be 0.836 0.836 0.500
Be 0.836 0.164 0.500
Be 0.164 0.836 0.500
Be 0.164 0.164 0.500
Ir 0.708 0.000 0.000
Ir 0.292 0.000 0.000
Ir 0.000 0.292 0.000
Ir 0.000 0.708 0.000
Ir 0.208 0.500 0.500
Ir 0.792 0.500 0.500
Ir 0.500 0.792 0.500
Ir 0.500 0.208 0.500
! Final energy in eV/atom: -6.613
! Density in g/cm3: 14.6
! Energy relative to the elements in eV per formula unit: -0.6
! Spin magnetization in μB per cell: 0.00
! Space group: I4/mmm